Model w:
The following is a PBE calculation of an optimized crystal structure of TlTc3S, from the Alexandria database.

POSCAR file:
```
TlTc3S
1.0
4.4174 0.0000 0.0000
0.0000 4.4174 0.0000
0.0000 0.0000 4.4174
S Tl Tc
1 1 3
Cartesian
0.0000 0.0000 0.0000 S
2.2087 2.2087 2.2087 Tl
0.0000 2.2087 0.0000 Tc
0.0000 0.0000 2.2087 Tc
2.2087 0.0000 0.0000 Tc
```

Computed properties:
symmetry	Pm-3m, No. 221


Model x:
The following is a PBE calculation of an optimized crystal structure of TlTc3S, from the Alexandria database.

POSCAR file:
```
TlTc3S
1.0
5.1813 0.0000 0.0000
0.0000 5.1813 0.0000
0.0000 0.0000 5.1813
S Tl Tc
1 1 3
Cartesian
2.5907 2.5907 2.5907 S
0.0000 0.0000 0.0000 Tl
0.0000 2.5907 0.0000 Tc
0.0000 0.0000 2.5907 Tc
2.5907 0.0000 0.0000 Tc
```

Computed properties:
symmetry	Pm-3m, No. 221


Stability ranking, top entry: model w; the second entry is 2.131 eV/atom less favorable.


Model w:
The following is a PBE calculation of an optimized crystal structure of V3TcS, from the Alexandria database.

POSCAR file:
```
V3TcS
1.0
4.2315 0.0000 0.0000
0.0000 4.2315 0.0000
0.0000 0.0000 4.2315
S Tc V
1 1 3
Cartesian
0.0000 0.0000 0.0000 S
2.1158 2.1158 2.1158 Tc
0.0000 2.1158 0.0000 V
0.0000 0.0000 2.1158 V
2.1158 0.0000 0.0000 V
```

Computed properties:
symmetry	Pm-3m, No. 221


Model x:
The following is a PBE calculation of an optimized crystal structure of V3TcS, from the Alexandria database.

POSCAR file:
```
V3TcS
1.0
-3.7259 2.6188 0.1570
-0.7002 -0.7297 -4.4432
-2.5284 -3.6571 0.9990
S Tc V
1 1 3
Cartesian
-3.4772 -0.8840 -1.6436 S
0.0000 0.0000 0.0000 Tc
-0.3501 -0.3649 -2.2216 V
-1.2642 -1.8285 0.4995 V
-1.8629 1.3094 0.0785 V
```

Computed properties:
symmetry	Pm-3m, No. 221


Stability ranking, top entry: model w; the second entry is 0.942 eV/atom less favorable.


Model w:
The following is a PBE calculation of an optimized crystal structure of VTcS, from the Alexandria database.

POSCAR file:
```
VTcS
1.0
-1.4497 -1.6767 -1.9007
1.7092 -3.2792 1.5891
-3.4935 1.3593 1.4654
S Tc V
1 1 1
Cartesian
-0.2665 -2.0123 1.2312 S
-0.2415 -0.2794 -0.3167 Tc
-2.7259 -1.3049 0.2392 V
```

Computed properties:
symmetry	P-6m2, No. 187


Model x:
The following is a PBE calculation of an optimized crystal structure of VTcS, from the Alexandria database.

POSCAR file:
```
VTcS
1.0
2.9132 0.0000 0.0000
0.0000 2.9132 0.0000
0.0000 0.0000 9.5314
V S Tc
2 2 2
Cartesian
0.0000 1.4566 5.7837 V
1.4566 0.0000 3.7477 V
1.4566 0.0000 6.8841 S
0.0000 1.4566 2.6473 S
0.0000 1.4566 8.7110 Tc
1.4566 0.0000 0.8204 Tc
```

Computed properties:
symmetry	P4/nmm, No. 129


Stability ranking, top entry: model x; the second entry is 0.055 eV/atom less favorable.